Record 1
A plane-wave DFT calculation with meta-GGA SCAN was carried out for a PBEsol-optimized structure of ScSiRh.

a b c (Å): 6.451 4.035 7.180
angles (deg): 90.00 90.00 90.00
Element x y z (fractional)
Sc1 0.008 0.250 0.189
Sc2 0.492 0.750 0.689
Sc3 0.508 0.250 0.311
Sc4 0.992 0.750 0.811
Si1 0.214 0.750 0.385
Si2 0.286 0.250 0.885
Si3 0.714 0.750 0.115
Si4 0.786 0.250 0.615
Rh1 0.156 0.250 0.563
Rh2 0.344 0.750 0.063
Rh3 0.656 0.250 0.937
Rh4 0.844 0.750 0.437

## Properties
For the raw formation energy, the calculation gives -1236 meV/atom. The raw total energy is -20.5770 eV per atom.

***

Record 2
A plane-wave DFT calculation with meta-GGA SCAN was carried out for a PBEsol-optimized structure of ScSnRh3.

a b c (Å): 4.718 4.718 4.718
angles (deg): 90.00 90.00 90.00
Element x y z (fractional)
Sc1 0.000 0.000 0.000
Sn1 0.500 0.500 0.500
Rh1 0.000 0.500 0.500
Rh2 0.500 0.000 0.500
Rh3 0.500 0.500 0.000

## Properties
The raw total energy is -29.7821 eV per atom. The value obtained for the formation energy is 0.5125 eV per atom.

***

Record 3
A plane-wave DFT calculation with meta-GGA SCAN was carried out for a PBEsol-optimized structure of SrSc2Rh.

a b c (Å): 3.592 3.592 7.880
angles (deg): 90.00 90.00 90.00
Element x y z (fractional)
Sr1 0.000 0.000 0.000
Sc1 0.000 0.000 0.405
Sc2 0.500 0.500 0.648
Rh1 0.500 0.500 0.313

## Properties
The raw total energy is -21.4246 eV per atom. The value obtained for the formation energy is -0.2943 eV per atom.

***

Record 4
A plane-wave DFT calculation with meta-GGA SCAN was carried out for a PBEsol-optimized structure of SrScRh4.

a b c (Å): 5.253 5.253 5.253
angles (deg): 60.00 60.00 60.00
Element x y z (fractional)
Sr1 0.000 0.000 0.000
Sc1 0.250 0.250 0.250
Rh1 0.127 0.624 0.624
Rh2 0.624 0.127 0.624
Rh3 0.624 0.624 0.127
Rh4 0.624 0.624 0.624

## Properties
The raw total energy is -29.0805 eV per atom. The value obtained for the formation energy is -0.4807 eV per atom.

***

Record 5
A plane-wave DFT calculation with meta-GGA SCAN was carried out for a PBEsol-optimized structure of SrScRh3.

a b c (Å): 4.757 4.757 4.757
angles (deg): 90.00 90.00 90.00
Element x y z (fractional)
Sr1 0.000 0.000 0.000
Sc1 0.500 0.500 0.500
Rh1 0.000 0.000 0.500
Rh2 0.000 0.500 0.000
Rh3 0.500 0.000 0.000

## Properties
The raw total energy is -26.2340 eV per atom. The value obtained for the formation energy is 1.3314 eV per atom.

***

Record 6
A plane-wave DFT calculation with meta-GGA SCAN was carried out for a PBEsol-optimized structure of ScTaRh2.

a b c (Å): 5.282 5.282 5.282
angles (deg): 142.49 133.97 60.82
Element x y z (fractional)
Sc1 0.000 0.000 0.000
Ta1 0.257 0.757 0.500
Rh1 0.487 0.487 0.000
Rh2 0.753 0.253 0.500

## Properties
The raw total energy is -37.7124 eV per atom. The value obtained for the formation energy is -0.6216 eV per atom.